Entry 1:
# PmPrSi PBE relaxed
# E_form (uncorrected) ... -42.02 kJ per mole of atoms
# N(E_F) ... 11.45 states/eV/cell
# Energy above the most stable polymorph in this dataset ... 0 kJ/mol of formula units
data_PmPrSi
_chemical_formula_sum 'Pm4 Pr4 Si4'
_cell_length_a 7.117
_cell_length_b 7.117
_cell_length_c 7.117
_cell_angle_alpha 90.00
_cell_angle_beta 90.00
_cell_angle_gamma 90.00
_symmetry_space_group_name_H-M 'F -4 3 m'
_symmetry_Int_Tables_number 216
_symmetry_space_group_name_Hall 'F -4 2 3'
loop_
_atom_site_label
_atom_site_type_symbol
_atom_site_fract_x
_atom_site_fract_y
_atom_site_fract_z
_atom_site_occupancy
Pm1 Pm 0.000 0.000 0.000 1
Pr1 Pr 0.000 0.000 0.500 1
Si1 Si 0.250 0.250 0.250 1

***

Entry 2:
# CsTl2Ge PBE relaxed
# Formation energy from the elements ... 36 meV per atom
# N(E_F) ... 2.46 states/eV/cell
# Energy above the most stable polymorph in this dataset ... 20 kJ/mol of formula units
data_CsTl2Ge
_chemical_formula_sum 'Cs1 Tl2 Ge1'
_cell_length_a 3.871
_cell_length_b 3.871
_cell_length_c 8.920
_cell_angle_alpha 90.00
_cell_angle_beta 90.00
_cell_angle_gamma 90.00
_symmetry_space_group_name_H-M 'P 4/m m m'
_symmetry_Int_Tables_number 123
_symmetry_space_group_name_Hall '-P 4 2'
loop_
_atom_site_label
_atom_site_type_symbol
_atom_site_fract_x
_atom_site_fract_y
_atom_site_fract_z
_atom_site_occupancy
Cs1 Cs 0.000 0.000 0.000 1
Tl1 Tl 0.500 0.500 0.316 1
Ge1 Ge 0.000 0.000 0.500 1

***

Entry 3:
# Np3Hg5O12 PBE relaxed
# E_form (uncorrected) ... -129.40 kJ per mole of atoms
# N(E_F) ... 66.67 states/eV/cell
data_Np3Hg5O12
_chemical_formula_sum 'Np24 Hg40 O96'
_cell_length_a 14.394
_cell_length_b 14.394
_cell_length_c 14.394
_cell_angle_alpha 90.00
_cell_angle_beta 90.00
_cell_angle_gamma 90.00
_symmetry_space_group_name_H-M 'I a -3 d'
_symmetry_Int_Tables_number 230
_symmetry_space_group_name_Hall '-I 4bd 2c 3'
loop_
_atom_site_label
_atom_site_type_symbol
_atom_site_fract_x
_atom_site_fract_y
_atom_site_fract_z
_atom_site_occupancy
Np1 Np 0.000 0.250 0.125 1
Hg1 Hg 0.000 0.000 0.000 1
Hg2 Hg 0.000 0.250 0.375 1
O1 O 0.010 0.118 0.623 1

***

Entry 4:
# Ba2SrZnN PBE relaxed
# E_form (uncorrected) ... -20.72 kJ per mole of atoms
# N(E_F) ... 5.26 states/eV/cell
data_Ba2SrZnN
_chemical_formula_sum 'Ba2 Sr1 Zn1 N1'
_cell_length_a 5.683
_cell_length_b 5.683
_cell_length_c 5.192
_cell_angle_alpha 90.00
_cell_angle_beta 90.00
_cell_angle_gamma 90.00
_symmetry_space_group_name_H-M 'P 4/m m m'
_symmetry_Int_Tables_number 123
_symmetry_space_group_name_Hall '-P 4 2'
loop_
_atom_site_label
_atom_site_type_symbol
_atom_site_fract_x
_atom_site_fract_y
_atom_site_fract_z
_atom_site_occupancy
Ba1 Ba 0.000 0.500 0.000 1
Sr1 Sr 0.000 0.000 0.500 1
Zn1 Zn 0.500 0.500 0.500 1
N1 N 0.000 0.000 0.000 1

***

Entry 5:
# HoAs2Pd8 PBE relaxed
# Formation energy from the elements ... -516 meV per atom
# N(E_F) ... 6.37 states/eV/cell
data_HoAs2Pd8
_chemical_formula_sum 'Ho2 As4 Pd16'
_cell_length_a 7.631
_cell_length_b 11.279
_cell_length_c 4.516
_cell_angle_alpha 90.00
_cell_angle_beta 105.79
_cell_angle_gamma 90.00
_symmetry_space_group_name_H-M 'C 1 2/m 1'
_symmetry_Int_Tables_number 12
loop_
_symmetry_equiv_pos_as_xyz
'x,y,z'
'-x,-y,-z'
'-x,y,-z'
'x,-y,z'
'x+1/2,y+1/2,z'
'-x+1/2,-y+1/2,-z'
'-x+1/2,y+1/2,-z'
'x+1/2,-y+1/2,z'
loop_
_atom_site_label
_atom_site_type_symbol
_atom_site_fract_x
_atom_site_fract_y
_atom_site_fract_z
_atom_site_occupancy
Ho1 Ho 0.000 0.000 0.000 1
As1 As 0.000 0.323 0.500 1
Pd1 Pd 0.000 0.248 0.000 1
Pd2 Pd 0.117 0.500 0.820 1
Pd3 Pd 0.193 0.128 0.592 1

***

Entry 6:
# Li5Sn3Pb3 PBE relaxed
# Formation energy from the elements ... -246 meV per atom
# N(E_F) ... 4.10 states/eV/cell
data_Li5Sn3Pb3
_chemical_formula_sum 'Li5 Sn3 Pb3'
_cell_length_a 4.905
_cell_length_b 6.899
_cell_length_c 8.368
_cell_angle_alpha 113.90
_cell_angle_beta 104.80
_cell_angle_gamma 90.26
_symmetry_space_group_name_H-M 'P 1'
_symmetry_Int_Tables_number 1
loop_
_symmetry_equiv_pos_as_xyz
'x,y,z'
loop_
_atom_site_label
_atom_site_type_symbol
_atom_site_fract_x
_atom_site_fract_y
_atom_site_fract_z
_atom_site_occupancy
Li1 Li 0.000 0.000 0.000 1
Li2 Li 0.011 0.526 0.030 1
Li3 Li 0.352 0.827 0.672 1
Li4 Li 0.694 0.170 0.313 1
Li5 Li 0.705 0.669 0.342 1
Sn1 Sn 0.207 0.417 0.344 1
Sn2 Sn 0.504 0.747 0.001 1
Sn3 Sn 0.853 0.093 0.671 1
Pb1 Pb 0.214 0.955 0.362 1
Pb2 Pb 0.484 0.265 0.977 1
Pb3 Pb 0.850 0.558 0.671 1

***

Entry 7:
# AcScGeO5 PBE relaxed
# E_form (uncorrected) ... -277.10 kJ per mole of atoms
# N(E_F) ... 0.00 states/eV/cell
data_AcScGeO5
_chemical_formula_sum 'Ac4 Sc4 Ge4 O20'
_cell_length_a 7.011
_cell_length_b 9.533
_cell_length_c 7.380
_cell_angle_alpha 90.00
_cell_angle_beta 111.19
_cell_angle_gamma 90.00
_symmetry_space_group_name_H-M 'C 1 2/c 1'
_symmetry_Int_Tables_number 15
loop_
_symmetry_equiv_pos_as_xyz
'x,y,z'
'-x,-y,-z'
'-x,y,-z+1/2'
'x,-y,z+1/2'
'x+1/2,y+1/2,z'
'-x+1/2,-y+1/2,-z'
'-x+1/2,y+1/2,-z+1/2'
'x+1/2,-y+1/2,z+1/2'
loop_
_atom_site_label
_atom_site_type_symbol
_atom_site_fract_x
_atom_site_fract_y
_atom_site_fract_z
_atom_site_occupancy
Ac1 Ac 0.000 0.170 0.250 1
Sc1 Sc 0.000 0.500 0.000 1
Ge1 Ge 0.000 0.181 0.750 1
O1 O 0.000 0.420 0.250 1
O2 O 0.107 0.289 0.613 1
O3 O 0.176 0.067 0.923 1

***

Entry 8:
# KCd3 PBE relaxed
# Formation energy from the elements ... -8 meV per atom
# N(E_F) ... 1.53 states/eV/cell
data_KCd3
_chemical_formula_sum 'K1 Cd3'
_cell_length_a 3.271
_cell_length_b 4.463
_cell_length_c 7.983
_cell_angle_alpha 90.00
_cell_angle_beta 90.00
_cell_angle_gamma 90.00
_symmetry_space_group_name_H-M 'P m m m'
_symmetry_Int_Tables_number 47
loop_
_symmetry_equiv_pos_as_xyz
'x,y,z'
'-x,-y,-z'
'-x,-y,z'
'x,y,-z'
'x,-y,-z'
'-x,y,z'
'-x,y,-z'
'x,-y,z'
loop_
_atom_site_label
_atom_site_type_symbol
_atom_site_fract_x
_atom_site_fract_y
_atom_site_fract_z
_atom_site_occupancy
K1 K 0.000 0.000 0.000 1
Cd1 Cd 0.000 0.000 0.500 1
Cd2 Cd 0.500 0.500 0.302 1

***

Entry 9:
# Hf2CoNiIr PBE relaxed
# Formation energy from the elements ... 371 meV per atom
# N(E_F) ... 4.66 states/eV/cell
data_Hf2CoNiIr
_chemical_formula_sum 'Hf2 Co1 Ni1 Ir1'
_cell_length_a 4.688
_cell_length_b 4.688
_cell_length_c 4.116
_cell_angle_alpha 90.00
_cell_angle_beta 90.00
_cell_angle_gamma 90.00
_symmetry_space_group_name_H-M 'P 4/m m m'
_symmetry_Int_Tables_number 123
_symmetry_space_group_name_Hall '-P 4 2'
loop_
_atom_site_label
_atom_site_type_symbol
_atom_site_fract_x
_atom_site_fract_y
_atom_site_fract_z
_atom_site_occupancy
Hf1 Hf 0.000 0.500 0.000 1
Co1 Co 0.000 0.000 0.500 1
Ni1 Ni 0.000 0.000 0.000 1
Ir1 Ir 0.500 0.500 0.500 1

***

Entry 10:
# ThInTe4 PBE relaxed
# E_form (uncorrected) ... -50.67 kJ per mole of atoms
# N(E_F) ... 6.48 states/eV/cell
data_ThInTe4
_chemical_formula_sum 'Th2 In2 Te8'
_cell_length_a 7.128
_cell_length_b 7.729
_cell_length_c 8.119
_cell_angle_alpha 90.00
_cell_angle_beta 97.15
_cell_angle_gamma 90.00
_symmetry_space_group_name_H-M 'P 1 21/c 1'
_symmetry_Int_Tables_number 14
loop_
_symmetry_equiv_pos_as_xyz
'x,y,z'
'-x,-y,-z'
'-x,y+1/2,-z+1/2'
'x,-y+1/2,z+1/2'
loop_
_atom_site_label
_atom_site_type_symbol
_atom_site_fract_x
_atom_site_fract_y
_atom_site_fract_z
_atom_site_occupancy
Th1 Th 0.000 0.000 0.000 1
In1 In 0.500 0.000 0.500 1
Te1 Te 0.101 0.148 0.351 1
Te2 Te 0.394 0.607 0.380 1

***

Entry 11:
# Pm2Sm6TmMg PBE relaxed
# Formation energy from the elements ... 112 meV per atom
# N(E_F) ... 51.43 states/eV/cell
data_Pm2Sm6TmMg
_chemical_formula_sum 'Pm8 Sm24 Tm4 Mg4'
_cell_length_a 9.210
_cell_length_b 14.861
_cell_length_c 9.729
_cell_angle_alpha 90.00
_cell_angle_beta 99.32
_cell_angle_gamma 90.00
_symmetry_space_group_name_H-M 'C 1 2/c 1'
_symmetry_Int_Tables_number 15
loop_
_symmetry_equiv_pos_as_xyz
'x,y,z'
'-x,-y,-z'
'-x,y,-z+1/2'
'x,-y,z+1/2'
'x+1/2,y+1/2,z'
'-x+1/2,-y+1/2,-z'
'-x+1/2,y+1/2,-z+1/2'
'x+1/2,-y+1/2,z+1/2'
loop_
_atom_site_label
_atom_site_type_symbol
_atom_site_fract_x
_atom_site_fract_y
_atom_site_fract_z
_atom_site_occupancy
Pm1 Pm 0.249 0.047 0.049 1
Sm1 Sm 0.062 0.185 0.448 1
Sm2 Sm 0.103 0.399 0.616 1
Sm3 Sm 0.211 0.217 0.808 1
Tm1 Tm 0.000 0.016 0.750 1
Mg1 Mg 0.000 0.405 0.250 1

***

Entry 12:
# Ho4PdPt2 PBE relaxed
# Formation energy from the elements ... -974 meV per atom
# N(E_F) ... 10.32 states/eV/cell
# Energy above the most stable polymorph in this dataset ... 21 kJ/mol of formula units
data_Ho4PdPt2
_chemical_formula_sum 'Ho12 Pd3 Pt6'
_cell_length_a 4.4974
_cell_length_b 4.4974
_cell_length_c 29.9382
_cell_angle_alpha 90.00
_cell_angle_beta 90.00
_cell_angle_gamma 120.00
_symmetry_space_group_name_H-M 'R -3 m'
_symmetry_Int_Tables_number 166
_symmetry_space_group_name_Hall '-R 3 2"'
loop_
_atom_site_label
_atom_site_type_symbol
_atom_site_fract_x
_atom_site_fract_y
_atom_site_fract_z
_atom_site_occupancy
Ho1 Ho 0.0000 0.0000 0.1197 1
Ho2 Ho 0.0000 0.0000 0.2971 1
Pd1 Pd 0.0000 0.0000 0.5000 1
Pt1 Pt 0.0000 0.0000 0.4043 1